(1)
! ReSb2As PBE-GGA optimized geometry; values from VASP
! Calculated total energy ... -22.66 eV per formula unit
! Density ... 9.78 Mg/m³
! Crystal system ... orthorhombic
&SYSTEM
  ibrav = 0, nat = 4, ntyp = 3
/
ATOMIC_SPECIES
Re 186.21 Re.upf
As 74.92 As.upf
Sb 121.76 Sb.upf
CELL_PARAMETERS angstrom
-1.558 -2.630 0.409
2.965 0.027 0.847
-2.681 3.032 9.287
ATOMIC_POSITIONS angstrom
Re -1.307 0.972 7.594
As 0.033 -0.544 2.950
Sb -2.602 2.942 9.014
Sb -1.420 1.605 4.917

=====

(2)
! Er2Au2O7 PBE-GGA optimized geometry; values from VASP
! Calculated total energy ... -67.84 eV per formula unit
! Density ... 9.83 Mg/m³
! Crystal system ... cubic
&SYSTEM
  ibrav = 0, nat = 22, ntyp = 3
/
ATOMIC_SPECIES
Er 167.26 Er.upf
Au 196.97 Au.upf
O 16.00 O.upf
CELL_PARAMETERS angstrom
6.390 0.000 3.689
2.130 6.024 3.689
0.000 0.000 7.378
ATOMIC_POSITIONS angstrom
Er 5.325 3.765 9.223
Er 5.325 3.765 5.534
Er 4.260 0.753 7.378
Er 2.130 3.765 7.378
Au 4.260 0.753 3.689
Au 2.130 3.765 3.689
Au 1.065 0.753 5.534
Au 1.065 0.753 1.845
O 1.900 1.343 7.378
O 3.080 4.681 5.334
O 3.080 0.163 5.334
O 4.030 2.849 3.689
O 6.390 4.518 11.067
O 5.440 1.343 5.334
O 3.080 0.163 2.044
O 1.180 2.849 5.334
O 0.230 0.163 3.689
O 1.180 2.849 2.044
O 3.080 4.681 9.422
O 4.260 3.012 7.378
O 5.440 1.343 9.422
O 6.620 4.681 7.378

=====

(3)
! Pr2SiIr PBE-GGA optimized geometry; values from VASP
! Calculated total energy ... -26.68 eV per formula unit
! Density ... 8.40 Mg/m³
! Crystal system ... monoclinic
&SYSTEM
  ibrav = 0, nat = 8, ntyp = 3
/
ATOMIC_SPECIES
Pr 140.91 Pr.upf
Si 28.09 Si.upf
Ir 192.22 Ir.upf
CELL_PARAMETERS angstrom
-3.121 -2.652 -1.301
3.440 -2.096 -3.981
0.402 -4.309 7.821
ATOMIC_POSITIONS angstrom
Pr -1.466 -4.265 1.565
Pr 2.186 -4.792 0.974
Pr 1.961 -2.653 -2.847
Pr -1.241 -6.403 5.386
Si 0.623 -2.409 -0.134
Si 0.097 -6.648 2.672
Ir -0.121 -4.470 -1.246
Ir 0.841 -4.587 3.784

=====

(4)
! YScGaCo2 PBE-GGA optimized geometry; values from VASP
! Calculated total energy ... -27.16 eV per formula unit
! Density ... 5.13 Mg/m³
! Energy of formation ... 574 meV per atom
! Crystal system ... tetragonal
&SYSTEM
  ibrav = 0, nat = 5, ntyp = 4
/
ATOMIC_SPECIES
Y 88.91 Y.upf
Sc 44.96 Sc.upf
Co 58.93 Co.upf
Ga 69.72 Ga.upf
CELL_PARAMETERS angstrom
4.509 0.000 0.000
0.000 5.117 0.000
0.000 0.000 4.509
ATOMIC_POSITIONS angstrom
Y 0.000 2.558 0.000
Sc 2.255 2.558 2.255
Co 0.000 0.000 2.255
Co 2.255 0.000 0.000
Ga 0.000 0.000 0.000

=====

(5)
! Ag2BiPd PBE-GGA optimized geometry; values from VASP
! Calculated total energy ... -14.29 eV per formula unit
! Density ... 10.25 Mg/m³
! Energy of formation ... 121 meV per atom
! Crystal system ... tetragonal
&SYSTEM
  ibrav = 0, nat = 8, ntyp = 3
/
ATOMIC_SPECIES
Pd 106.42 Pd.upf
Bi 208.98 Bi.upf
Ag 107.87 Ag.upf
CELL_PARAMETERS angstrom
7.889 0.000 0.000
0.000 7.889 0.000
3.944 3.944 2.765
ATOMIC_POSITIONS angstrom
Pd 3.944 3.944 0.000
Pd 3.944 7.889 1.382
Bi 0.000 0.000 0.000
Bi 7.889 3.944 1.382
Ag 5.755 1.972 0.691
Ag 2.134 5.917 0.691
Ag 5.917 6.079 2.074
Ag 9.861 9.699 2.074

=====

(6)
! AcGaRh PBE-GGA optimized geometry; values from VASP
! Calculated total energy ... -15.90 eV per formula unit
! Density ... 9.88 Mg/m³
! Energy of formation ... -471 meV per atom
! Crystal system ... tetragonal
&SYSTEM
  ibrav = 0, nat = 3, ntyp = 3
/
ATOMIC_SPECIES
Ac 227.00 Ac.upf
Rh 102.91 Rh.upf
Ga 69.72 Ga.upf
CELL_PARAMETERS angstrom
3.480 0.000 0.000
0.000 3.480 0.000
-1.740 -1.740 5.543
ATOMIC_POSITIONS angstrom
Ac 0.000 0.000 0.048
Rh 1.740 1.740 2.248
Ga 0.000 0.000 3.248

=====

(7)
! Ag2Pb PBE-GGA optimized geometry; values from VASP
! Calculated total energy ... -8.77 eV per formula unit
! Density ... 9.67 Mg/m³
! Energy of formation ... 213 meV per atom
! Crystal system ... tetragonal
&SYSTEM
  ibrav = 0, nat = 6, ntyp = 2
/
ATOMIC_SPECIES
Ag 107.87 Ag.upf
Pb 207.20 Pb.upf
CELL_PARAMETERS angstrom
9.570 -1.643 -1.479
8.119 -4.685 2.934
-9.468 1.037 -2.399
ATOMIC_POSITIONS angstrom
Ag 10.165 -3.636 0.836
Ag 2.427 -2.934 0.523
Ag 7.524 -2.692 0.619
Ag 5.068 -3.878 0.740
Pb 0.000 0.000 0.000
Pb 4.473 -1.885 -1.575

=====

(8)
! HgN PBE-GGA optimized geometry; values from VASP
! Calculated total energy ... -5.45 eV per formula unit
! Density ... 10.08 Mg/m³
! Crystal system ... cubic
&SYSTEM
  ibrav = 0, nat = 8, ntyp = 2
/
ATOMIC_SPECIES
Hg 200.59 Hg.upf
N 14.01 N.upf
CELL_PARAMETERS angstrom
5.209 0.000 0.000
0.000 5.209 0.000
0.000 0.000 5.209
ATOMIC_POSITIONS angstrom
Hg 0.000 0.000 0.000
Hg 0.000 2.605 2.605
Hg 2.605 0.000 2.605
Hg 2.605 2.605 0.000
N 1.302 1.302 1.302
N 1.302 3.907 3.907
N 3.907 1.302 3.907
N 3.907 3.907 1.302

=====

(9)
! Na2MgSn PBE-GGA optimized geometry; values from VASP
! Calculated total energy ... -8.78 eV per formula unit
! Density ... 2.65 Mg/m³
! Energy of formation ... -136 meV per atom
! Crystal system ... orthorhombic
&SYSTEM
  ibrav = 0, nat = 8, ntyp = 3
/
ATOMIC_SPECIES
Na 22.99 Na.upf
Mg 24.30 Mg.upf
Sn 118.71 Sn.upf
CELL_PARAMETERS angstrom
6.042 0.000 0.000
0.000 6.161 -1.316
0.000 0.327 6.292
ATOMIC_POSITIONS angstrom
Na 4.531 6.077 0.751
Na 1.510 0.411 4.224
Na 1.510 4.187 -0.698
Na 4.531 2.302 5.674
Mg 3.021 3.244 2.488
Mg 0.000 3.244 2.488
Sn 1.510 1.345 1.031
Sn 4.531 5.144 3.945

=====

(10)
! CsNpZnF6 PBE-GGA optimized geometry; values from VASP
! Calculated total energy ... -52.45 eV per formula unit
! Density ... 5.63 Mg/m³
! Crystal system ... orthorhombic
&SYSTEM
  ibrav = 0, nat = 18, ntyp = 4
/
ATOMIC_SPECIES
Cs 132.91 Cs.upf
Np 237.00 Np.upf
Zn 65.41 Zn.upf
F 19.00 F.upf
CELL_PARAMETERS angstrom
-3.439 -0.800 7.223
-6.293 -2.826 -3.309
6.839 -3.051 -1.556
ATOMIC_POSITIONS angstrom
Cs -1.952 -4.409 3.056
Cs -0.940 -2.267 -0.699
Np 1.700 -1.925 2.833
Np 3.419 -1.525 -0.778
Zn -4.866 -1.813 1.957
Zn -1.719 -0.400 3.611
F -6.126 -3.291 1.193
F 1.281 -3.211 4.728
F -1.901 -1.887 5.025
F -3.624 -2.938 0.758
F -0.622 -1.589 2.337
F -4.903 -3.235 3.447
F 3.233 -3.386 1.164
F -4.173 -3.465 -2.371
F -0.991 -4.789 -2.667
F 0.731 -3.739 1.599
F -2.271 -5.087 0.021
F 2.011 -3.441 -1.089

=====

(11)
! SrSmZnHg PBE-GGA optimized geometry; values from VASP
! Calculated total energy ... -9.47 eV per formula unit
! Density ... 7.43 Mg/m³
! Energy of formation ... -373 meV per atom
! Crystal system ... tetragonal
&SYSTEM
  ibrav = 0, nat = 4, ntyp = 4
/
ATOMIC_SPECIES
Sr 87.62 Sr.upf
Sm 150.36 Sm.upf
Zn 65.41 Zn.upf
Hg 200.59 Hg.upf
CELL_PARAMETERS angstrom
3.833 0.000 0.000
0.000 3.833 0.000
0.000 0.000 7.665
ATOMIC_POSITIONS angstrom
Sr 1.916 1.916 0.872
Sm 1.916 1.916 4.557
Zn 0.000 0.000 2.981
Hg 0.000 0.000 6.367